(1)
Here is a relaxed structure of CrSeBr2 from the Alexandria database. Energies are from PBE-GGA.

Cell and atoms, written as CIF:
```
data_CrSeBr2
_symmetry_space_group_name_H-M 'P 1'
_symmetry_Int_Tables_number 1
_cell_length_a 3.2687
_cell_length_b 3.2687
_cell_length_c 10.6226
_cell_angle_alpha 90.00
_cell_angle_beta 90.00
_cell_angle_gamma 108.41
loop_
_symmetry_equiv_pos_as_xyz
'x,y,z'
loop_
_atom_site_label
_atom_site_fract_x
_atom_site_fract_y
_atom_site_fract_z
Cr1 0.0000 0.0000 0.0000
Se1 0.5000 0.5000 0.8566
Br1 0.0000 0.0000 0.5230
Br2 0.5000 0.5000 0.1665
```

## Properties
Energy relative to the lowest polymorph listed for this composition (eV/atom): 0.357
Density (g cm⁻³): 4.48
Total moment (Bohr magnetons per cell): 3.0
Fermi-level density of states (states/eV per cell): 3.283
Space-group type: No. 35
ΔE_f (raw) (eV per atom): -0.056
Total DFT energy (no corrections) (hartree per atom): -0.1532

(2)
Here is a relaxed structure of GaRuPb from the Alexandria database. Energies are from PBE-GGA.

Cell and atoms, written as CIF:
```
data_GaRuPb
_symmetry_space_group_name_H-M 'P 1'
_symmetry_Int_Tables_number 1
_cell_length_a 3.1755
_cell_length_b 3.1755
_cell_length_c 6.0164
_cell_angle_alpha 90.00
_cell_angle_beta 90.00
_cell_angle_gamma 90.00
loop_
_symmetry_equiv_pos_as_xyz
'x,y,z'
loop_
_atom_site_label
_atom_site_fract_x
_atom_site_fract_y
_atom_site_fract_z
Ga1 0.0000 0.0000 0.0000
Ru1 0.5000 0.5000 0.7878
Pb1 0.0000 0.0000 0.4782
```

## Properties
Density (g cm⁻³): 10.35
Total moment (Bohr magnetons per cell): 0.0
Formation enthalpy at 0 K (eV/atom): 0.03
Fermi-level density of states (states/eV per cell): 0.858
Space-group type: No. 99
Total DFT energy (no corrections) (hartree per atom): -0.1951

(3)
Here is a relaxed structure of HgTeAuBr2 from the Alexandria database. Energies are from PBE-GGA.

Cell and atoms, written as CIF:
```
data_HgTeAuBr2
_symmetry_space_group_name_H-M 'P 1'
_symmetry_Int_Tables_number 1
_cell_length_a 5.2580
_cell_length_b 5.2580
_cell_length_c 6.0785
_cell_angle_alpha 90.00
_cell_angle_beta 90.00
_cell_angle_gamma 90.00
loop_
_symmetry_equiv_pos_as_xyz
'x,y,z'
loop_
_atom_site_label
_atom_site_fract_x
_atom_site_fract_y
_atom_site_fract_z
Hg1 0.0000 0.0000 0.0000
Te1 0.0000 0.0000 0.5000
Au1 0.5000 0.5000 0.5000
Br1 0.0000 0.5000 0.0000
Br2 0.5000 0.0000 0.0000
```

## Properties
Density (g cm⁻³): 6.77
Total moment (Bohr magnetons per cell): 0.0
Fermi-level density of states (states/eV per cell): 4.778
Space-group type: No. 123
ΔE_f (raw) (eV per atom): 0.495
Total DFT energy (no corrections) (hartree per atom): -0.0558

(4)
Here is a relaxed structure of MgSiPd3 from the Alexandria database. Energies are from PBE-GGA.

Cell and atoms, written as CIF:
```
data_MgSiPd3
_symmetry_space_group_name_H-M 'P 1'
_symmetry_Int_Tables_number 1
_cell_length_a 4.5207
_cell_length_b 4.5207
_cell_length_c 4.5207
_cell_angle_alpha 90.00
_cell_angle_beta 90.00
_cell_angle_gamma 90.00
loop_
_symmetry_equiv_pos_as_xyz
'x,y,z'
loop_
_atom_site_label
_atom_site_fract_x
_atom_site_fract_y
_atom_site_fract_z
Mg1 0.0000 0.0000 0.0000
Si1 0.5000 0.5000 0.5000
Pd1 0.0000 0.5000 0.5000
Pd2 0.5000 0.0000 0.5000
Pd3 0.5000 0.5000 0.0000
```

## Properties
Energy relative to the lowest polymorph listed for this composition (eV/atom): 0.262
Density (g cm⁻³): 6.68
Total moment (Bohr magnetons per cell): 0.0
Fermi-level density of states (states/eV per cell): 1.531
Space-group type: No. 221
ΔE_f (raw) (eV per atom): -0.330
Total DFT energy (no corrections) (hartree per atom): -0.1782

(5)
Here is a relaxed structure of Ag2Br3 from the Alexandria database. Energies are from PBE-GGA.

Cell and atoms, written as CIF:
```
data_Ag2Br3
_symmetry_space_group_name_H-M 'P 1'
_symmetry_Int_Tables_number 1
_cell_length_a 7.5553
_cell_length_b 7.5553
_cell_length_c 7.5553
_cell_angle_alpha 55.51
_cell_angle_beta 55.51
_cell_angle_gamma 55.51
loop_
_symmetry_equiv_pos_as_xyz
'x,y,z'
loop_
_atom_site_label
_atom_site_fract_x
_atom_site_fract_y
_atom_site_fract_z
Ag1 0.1591 0.1591 0.1591
Ag2 0.3409 0.3409 0.3409
Ag3 0.6591 0.6591 0.6591
Ag4 0.8409 0.8409 0.8409
Br1 0.0699 0.7500 0.4301
Br2 0.2500 0.5699 0.9301
Br3 0.4301 0.0699 0.7500
Br4 0.5699 0.9301 0.2500
Br5 0.7500 0.4301 0.0699
Br6 0.9301 0.2500 0.5699
```

## Properties
Energy relative to the lowest polymorph listed for this composition (eV/atom): 0.022
Density (g cm⁻³): 5.54
Total moment (Bohr magnetons per cell): 0.0
Fermi-level density of states (states/eV per cell): 13.637
Space-group type: No. 167
ΔE_f (raw) (eV per atom): -0.243
Total DFT energy (no corrections) (hartree per atom): -0.0877

(6)
Here is a relaxed structure of Ca2Sc from the Alexandria database. Energies are from PBE-GGA.

Cell and atoms, written as CIF:
```
data_Ca2Sc
_symmetry_space_group_name_H-M 'P 1'
_symmetry_Int_Tables_number 1
_cell_length_a 6.7073
_cell_length_b 6.7073
_cell_length_c 6.7073
_cell_angle_alpha 102.04
_cell_angle_beta 102.04
_cell_angle_gamma 125.64
loop_
_symmetry_equiv_pos_as_xyz
'x,y,z'
loop_
_atom_site_label
_atom_site_fract_x
_atom_site_fract_y
_atom_site_fract_z
Ca1 0.1595 0.6595 0.8191
Ca2 0.3405 0.1595 0.5000
Ca3 0.6595 0.8405 0.5000
Ca4 0.8405 0.3405 0.1809
Sc1 0.2500 0.2500 0.0000
Sc2 0.7500 0.7500 0.0000
```

## Properties
Energy relative to the lowest polymorph listed for this composition (eV/atom): 0.064
Density (g cm⁻³): 1.90
Total moment (Bohr magnetons per cell): 0.0
Formation enthalpy at 0 K (eV/atom): 0.21
Fermi-level density of states (states/eV per cell): 6.552
Space-group type: No. 140
Total DFT energy (no corrections) (hartree per atom): -0.1189

(7)
Here is a relaxed structure of Ca3AsH from the Alexandria database. Energies are from PBE-GGA.

Cell and atoms, written as CIF:
```
data_Ca3AsH
_symmetry_space_group_name_H-M 'P 1'
_symmetry_Int_Tables_number 1
_cell_length_a 4.7990
_cell_length_b 4.7990
_cell_length_c 4.7990
_cell_angle_alpha 90.00
_cell_angle_beta 90.00
_cell_angle_gamma 90.00
loop_
_symmetry_equiv_pos_as_xyz
'x,y,z'
loop_
_atom_site_label
_atom_site_fract_x
_atom_site_fract_y
_atom_site_fract_z
Ca1 0.0000 0.0000 0.5000
Ca2 0.0000 0.5000 0.0000
Ca3 0.5000 0.0000 0.0000
As1 0.5000 0.5000 0.5000
H1 0.0000 0.0000 0.0000
```

## Properties
Energy relative to the lowest polymorph listed for this composition (eV/atom): 0.224
Density (g cm⁻³): 2.95
Total moment (Bohr magnetons per cell): 0.0
Fermi-level density of states (states/eV per cell): 6.076
Space-group type: No. 221
Total DFT energy (no corrections) (hartree per atom): -0.1188

(8)
Here is a relaxed structure of InReRu2 from the Alexandria database. Energies are from PBE-GGA.

Cell and atoms, written as CIF:
```
data_InReRu2
_symmetry_space_group_name_H-M 'P 1'
_symmetry_Int_Tables_number 1
_cell_length_a 2.8524
_cell_length_b 3.7115
_cell_length_c 5.9483
_cell_angle_alpha 90.00
_cell_angle_beta 90.00
_cell_angle_gamma 90.00
loop_
_symmetry_equiv_pos_as_xyz
'x,y,z'
loop_
_atom_site_label
_atom_site_fract_x
_atom_site_fract_y
_atom_site_fract_z
In1 0.0000 0.0000 0.0000
Re1 0.0000 0.0000 0.5000
Ru1 0.5000 0.5000 0.2731
Ru2 0.5000 0.5000 0.7269
```

## Properties
Density (g cm⁻³): 13.27
Total moment (Bohr magnetons per cell): 0.0
Formation enthalpy at 0 K (eV/atom): 0.17
Fermi-level density of states (states/eV per cell): 3.652
Space-group type: No. 47
Total DFT energy (no corrections) (hartree per atom): -0.3035

(9)
Here is a relaxed structure of Ti2NbTcH from the Alexandria database. Energies are from PBE-GGA.

Cell and atoms, written as CIF:
```
data_Ti2NbTcH
_symmetry_space_group_name_H-M 'P 1'
_symmetry_Int_Tables_number 1
_cell_length_a 4.4510
_cell_length_b 4.4510
_cell_length_c 3.4190
_cell_angle_alpha 90.00
_cell_angle_beta 90.00
_cell_angle_gamma 90.00
loop_
_symmetry_equiv_pos_as_xyz
'x,y,z'
loop_
_atom_site_label
_atom_site_fract_x
_atom_site_fract_y
_atom_site_fract_z
Ti1 0.0000 0.5000 0.0000
Ti2 0.5000 0.0000 0.0000
Nb1 0.0000 0.0000 0.5000
Tc1 0.5000 0.5000 0.5000
H1 0.5000 0.5000 0.0000
```

## Properties
Energy relative to the lowest polymorph listed for this composition (eV/atom): 0.000
Density (g cm⁻³): 7.05
Total moment (Bohr magnetons per cell): 0.0
Fermi-level density of states (states/eV per cell): 6.631
Space-group type: No. 123
Total DFT energy (no corrections) (hartree per atom): -0.2966

(10)
Here is a relaxed structure of Zn2S2O7 from the Alexandria database. Energies are from PBE-GGA.

Cell and atoms, written as CIF:
```
data_Zn2S2O7
_symmetry_space_group_name_H-M 'P 1'
_symmetry_Int_Tables_number 1
_cell_length_a 5.6077
_cell_length_b 5.6077
_cell_length_c 4.8125
_cell_angle_alpha 107.71
_cell_angle_beta 107.71
_cell_angle_gamma 93.10
loop_
_symmetry_equiv_pos_as_xyz
'x,y,z'
loop_
_atom_site_label
_atom_site_fract_x
_atom_site_fract_y
_atom_site_fract_z
Zn1 0.1962 0.8038 0.0000
Zn2 0.8038 0.1962 0.0000
S1 0.2928 0.2928 0.6140
S2 0.7072 0.7072 0.3860
O1 0.1015 0.1015 0.3024
O2 0.1198 0.4236 0.7856
O3 0.4236 0.1198 0.7856
O4 0.5000 0.5000 0.5000
O5 0.5764 0.8802 0.2144
O6 0.8802 0.5764 0.2144
O7 0.8985 0.8985 0.6976
```

## Properties
Energy relative to the lowest polymorph listed for this composition (eV/atom): 0.253
Density (g cm⁻³): 3.76
Total moment (Bohr magnetons per cell): 0.0
Fermi-level density of states (states/eV per cell): 0.000
Space-group type: No. 12
ΔE_f (raw) (eV per atom): -1.050
Total DFT energy (no corrections) (hartree per atom): -0.1906

(11)
Here is a relaxed structure of CdSeO2 from the Alexandria database. Energies are from PBE-GGA.

Cell and atoms, written as CIF:
```
data_CdSeO2
_symmetry_space_group_name_H-M 'P 1'
_symmetry_Int_Tables_number 1
_cell_length_a 4.8626
_cell_length_b 4.8626
_cell_length_c 4.8626
_cell_angle_alpha 142.67
_cell_angle_beta 90.61
_cell_angle_gamma 101.20
loop_
_symmetry_equiv_pos_as_xyz
'x,y,z'
loop_
_atom_site_label
_atom_site_fract_x
_atom_site_fract_y
_atom_site_fract_z
Cd1 0.0000 0.0000 0.0000
Se1 0.5237 0.0237 0.5000
O1 0.5205 0.2130 0.3075
O2 0.9055 0.2130 0.6925
```

## Properties
Energy relative to the lowest polymorph listed for this composition (eV/atom): 0.139
Density (g cm⁻³): 5.64
Total moment (Bohr magnetons per cell): 0.0
Fermi-level density of states (states/eV per cell): 1.093
Space-group type: No. 44
ΔE_f (raw) (eV per atom): -0.488
Total DFT energy (no corrections) (hartree per atom): -0.1495

(12)
Here is a relaxed structure of TmTlInAg from the Alexandria database. Energies are from PBE-GGA.

Cell and atoms, written as CIF:
```
data_TmTlInAg
_symmetry_space_group_name_H-M 'P 1'
_symmetry_Int_Tables_number 1
_cell_length_a 5.1174
_cell_length_b 5.1174
_cell_length_c 5.1174
_cell_angle_alpha 60.00
_cell_angle_beta 60.00
_cell_angle_gamma 60.00
loop_
_symmetry_equiv_pos_as_xyz
'x,y,z'
loop_
_atom_site_label
_atom_site_fract_x
_atom_site_fract_y
_atom_site_fract_z
Tm1 0.0000 0.0000 0.0000
Tl1 0.2500 0.2500 0.2500
In1 0.5000 0.5000 0.5000
Ag1 0.7500 0.7500 0.7500
```

## Properties
Density (g cm⁻³): 10.44
Total moment (Bohr magnetons per cell): 0.0
Formation enthalpy at 0 K (eV/atom): -0.17
Fermi-level density of states (states/eV per cell): 1.736
Space-group type: No. 216
Total DFT energy (no corrections) (hartree per atom): -0.1204